Li2Ag7Ge2 PBE optimized geometry; total energy = -3.025 eV/atom; calculated volume = 199.7 Å³ per cell; E_form = -0.0230 eV/atom; total moment = 0.00 μB/f.u.
1.0
4.687 -4.713 0.000
4.687 4.713 0.000
-2.238 0.000 4.520
Li Ag Ge
2 7 2
direct
0.193 0.807 0.000 Li
0.807 0.193 0.000 Li
0.000 0.000 0.500 Ag
0.079 0.577 0.317 Ag
0.409 0.409 0.681 Ag
0.423 0.921 0.683 Ag
0.577 0.079 0.317 Ag
0.591 0.591 0.319 Ag
0.921 0.423 0.683 Ag
0.258 0.258 0.032 Ge
0.742 0.742 0.968 Ge